No. 1
# Mg5Ga, optimized geometry, DFT PBE-GGA
data_Mg5Ga
_cell_length_a 3.180
_cell_length_b 3.180
_cell_length_c 14.952
_cell_angle_alpha 90.00
_cell_angle_beta 90.00
_cell_angle_gamma 120.00
_symmetry_space_group_name_H-M 'P 1'
_symmetry_Int_Tables_number 1
loop_
_symmetry_equiv_pos_as_xyz
'x,y,z'
loop_
_atom_site_label
_atom_site_type_symbol
_atom_site_fract_x
_atom_site_fract_y
_atom_site_fract_z
Mg1 Mg 0.000 0.000 0.000
Mg2 Mg 0.000 0.000 0.348
Mg3 Mg 0.000 0.000 0.652
Mg4 Mg 0.667 0.333 0.175
Mg5 Mg 0.667 0.333 0.825
Ga1 Ga 0.667 0.333 0.500
# Relative energy among the computed polymorphs, meV per atom: 17.9
# DFT formation energy, eV per atom: -0.036
# SG: P-6m2, No. 187

=====

No. 2
# Sm3Pa2Co4, optimized geometry, DFT PBE-GGA
data_Sm3Pa2Co4
_cell_length_a 6.027
_cell_length_b 6.027
_cell_length_c 9.128
_cell_angle_alpha 101.36
_cell_angle_beta 101.36
_cell_angle_gamma 35.91
_symmetry_space_group_name_H-M 'P 1'
_symmetry_Int_Tables_number 1
loop_
_symmetry_equiv_pos_as_xyz
'x,y,z'
loop_
_atom_site_label
_atom_site_type_symbol
_atom_site_fract_x
_atom_site_fract_y
_atom_site_fract_z
Sm1 Sm 0.000 0.000 0.000
Sm2 Sm 0.376 0.376 0.617
Sm3 Sm 0.624 0.624 0.383
Pa1 Pa 0.320 0.320 0.221
Pa2 Pa 0.680 0.680 0.779
Co1 Co 0.079 0.079 0.620
Co2 Co 0.294 0.294 0.928
Co3 Co 0.706 0.706 0.072
Co4 Co 0.921 0.921 0.380
# DFT formation energy, eV per atom: -0.271
# SG: C2/m, No. 12

=====

No. 3
# BeCoHg3, optimized geometry, DFT PBE-GGA
data_BeCoHg3
_cell_length_a 4.683
_cell_length_b 4.683
_cell_length_c 4.683
_cell_angle_alpha 90.00
_cell_angle_beta 90.00
_cell_angle_gamma 90.00
_symmetry_space_group_name_H-M 'P 1'
_symmetry_Int_Tables_number 1
loop_
_symmetry_equiv_pos_as_xyz
'x,y,z'
loop_
_atom_site_label
_atom_site_type_symbol
_atom_site_fract_x
_atom_site_fract_y
_atom_site_fract_z
Be1 Be 0.000 0.000 0.000
Co1 Co 0.500 0.500 0.500
Hg1 Hg 0.000 0.000 0.500
Hg2 Hg 0.000 0.500 0.000
Hg3 Hg 0.500 0.000 0.000
# Relative energy among the computed polymorphs, meV per atom: 0.0
# DFT formation energy, eV per atom: 0.779
# SG: Pm-3m, No. 221

=====

no.,Fermi-level density of states (states/eV/f.u.)
1,2.6
2,9.9
3,5.9